Entry 1:
DyHfTh2 | PBE | relaxed

Output
Formation enthalpy at 0 K = 110 meV/atom
Spin magnetization = 0.0 μB per formula unit
Distance to the lowest polymorph of the same formula = 0 meV/atom

Cell lengths 3.4723, 3.4723, 9.7954 Å; angles 90.00, 90.00, 90.00 degrees
Element x y z (fractional)
Dy 0.0000 0.0000 0.0000
Hf 0.0000 0.0000 0.5000
Th 0.5000 0.5000 0.2658
Th 0.5000 0.5000 0.7342

Entry 2:
DyHfTh2 | PBE | relaxed

Output
Formation enthalpy at 0 K = 176 meV/atom
Spin magnetization = 0.0 μB per formula unit
Distance to the lowest polymorph of the same formula = 67 meV/atom

Cell lengths 5.4735, 5.4735, 5.4735 Å; angles 60.00, 60.00, 60.00 degrees
Element x y z (fractional)
Dy 0.0000 0.0000 0.0000
Hf 0.5000 0.5000 0.5000
Th 0.2500 0.2500 0.2500
Th 0.7500 0.7500 0.7500

Entry 3:
DyHfTh2 | PBE | relaxed

Output
Formation enthalpy at 0 K = 380 meV/atom
Spin magnetization = 0.0 μB per formula unit
Distance to the lowest polymorph of the same formula = 271 meV/atom

Cell lengths 12.3366, 12.3366, 12.3366 Å; angles 15.68, 15.68, 15.68 degrees
Element x y z (fractional)
Dy 0.0000 0.0000 0.0000
Hf 0.5000 0.5000 0.5000
Th 0.4167 0.4167 0.4167
Th 0.5833 0.5833 0.5833

Entry 4:
DyHfThZr | PBE | relaxed

Output
Formation enthalpy at 0 K = 208 meV/atom
Spin magnetization = 0.0 μB per formula unit

Cell lengths 5.3193, 5.3193, 5.3193 Å; angles 60.00, 60.00, 60.00 degrees
Element x y z (fractional)
Dy 0.0000 0.0000 0.0000
Hf 0.2500 0.2500 0.2500
Th 0.5000 0.5000 0.5000
Zr 0.7500 0.7500 0.7500

Entry 5:
DyHf2Ti | PBE | relaxed

Output
Formation enthalpy at 0 K = 188 meV/atom
Spin magnetization = 0.0 μB per formula unit
Distance to the lowest polymorph of the same formula = 20 meV/atom

Cell lengths 10.5970, 10.5970, 10.5970 Å; angles 17.24, 17.24, 17.24 degrees
Element x y z (fractional)
Dy 0.0000 0.0000 0.0000
Hf 0.2425 0.2425 0.2425
Hf 0.7575 0.7575 0.7575
Ti 0.5000 0.5000 0.5000

Entry 6:
DyHf2Ti | PBE | relaxed

Output
Formation enthalpy at 0 K = 172 meV/atom
Spin magnetization = 0.0 μB per formula unit
Distance to the lowest polymorph of the same formula = 4 meV/atom

Cell lengths 10.4985, 10.4985, 10.4985 Å; angles 17.52, 17.52, 17.52 degrees
Element x y z (fractional)
Dy 0.0000 0.0000 0.0000
Hf 0.5759 0.5759 0.5759
Hf 0.7574 0.7574 0.7574
Ti 0.1667 0.1667 0.1667

Entry 7:
DyHf2Ti | PBE | relaxed

Output
Formation enthalpy at 0 K = 168 meV/atom
Spin magnetization = 0.0 μB per formula unit
Distance to the lowest polymorph of the same formula = 0 meV/atom

Cell lengths 3.5851, 3.5851, 7.1935 Å; angles 90.00, 90.00, 90.00 degrees
Element x y z (fractional)
Dy 0.0000 0.0000 0.0000
Hf 0.5000 0.5000 0.2980
Hf 0.5000 0.5000 0.7020
Ti 0.0000 0.0000 0.5000

Entry 8:
Dy2HfTl | PBE | relaxed

Output
Formation enthalpy at 0 K = -25 meV/atom
Spin magnetization = 0.0 μB per formula unit
Distance to the lowest polymorph of the same formula = 65 meV/atom

Cell lengths 4.6994, 4.6994, 4.6799 Å; angles 90.00, 90.00, 90.00 degrees
Element x y z (fractional)
Dy 0.0000 0.5000 0.0000
Dy 0.5000 0.0000 0.0000
Hf 0.0000 0.0000 0.5000
Tl 0.5000 0.5000 0.5000

Entry 9:
Dy2HfTl | PBE | relaxed

Output
Formation enthalpy at 0 K = -91 meV/atom
Spin magnetization = 0.0 μB per formula unit
Distance to the lowest polymorph of the same formula = 0 meV/atom

Cell lengths 3.4150, 3.4150, 9.2301 Å; angles 90.00, 90.00, 90.00 degrees
Element x y z (fractional)
Dy 0.0000 0.0000 0.2483
Dy 0.0000 0.0000 0.7517
Hf 0.5000 0.5000 0.0000
Tl 0.5000 0.5000 0.5000

Entry 10:
DyHfTl | PBE | relaxed

Output
Formation enthalpy at 0 K = -42 meV/atom
Spin magnetization = 0.0 μB per formula unit

Cell lengths 6.8888, 6.8888, 6.8888 Å; angles 150.96, 150.96, 41.53 degrees
Element x y z (fractional)
Dy 0.0000 0.0000 0.0000
Hf 0.3288 0.3288 0.0000
Tl 0.6740 0.6740 0.0000

Entry 11:
Dy2HfTl | PBE | relaxed

Output
Formation enthalpy at 0 K = 306 meV/atom
Spin magnetization = 0.0 μB per formula unit
Distance to the lowest polymorph of the same formula = 396 meV/atom

Cell lengths 11.9458, 11.9458, 11.9458 Å; angles 15.89, 15.89, 15.89 degrees
Element x y z (fractional)
Dy 0.0897 0.0897 0.0897
Dy 0.9103 0.9103 0.9103
Hf 0.0000 0.0000 0.0000
Tl 0.5000 0.5000 0.5000

Entry 12:
DyTmHf2 | PBE | relaxed

Output
Formation enthalpy at 0 K = 178 meV/atom
Spin magnetization = 0.0 μB per formula unit
Distance to the lowest polymorph of the same formula = 3 meV/atom

Cell lengths 4.6368, 4.6368, 4.7696 Å; angles 90.00, 90.00, 90.00 degrees
Element x y z (fractional)
Dy 0.0000 0.0000 0.0000
Tm 0.5000 0.5000 0.0000
Hf 0.0000 0.5000 0.5000
Hf 0.5000 0.0000 0.5000

Entry 13:
DyTm14Hf | PBE | relaxed

Output
Formation enthalpy at 0 K = 20 meV/atom
Spin magnetization = 0.0 μB per formula unit

Cell lengths 10.9555, 7.0818, 7.0818 Å; angles 60.04, 90.00, 90.00 degrees
Element x y z (fractional)
Dy 0.0000 0.0000 0.0000
Tm 0.0000 0.5027 0.9993
Tm 0.0000 0.9993 0.5027
Tm 0.2435 0.3367 0.3367
Tm 0.2444 0.3370 0.8282
Tm 0.2444 0.8282 0.3370
Tm 0.2532 0.8339 0.8339
Tm 0.5000 0.0011 0.0011
Tm 0.5000 0.0010 0.5002
Tm 0.5000 0.5002 0.0010
Tm 0.5000 0.5008 0.5008
Tm 0.7468 0.8339 0.8339
Tm 0.7565 0.3367 0.3367
Tm 0.7556 0.3370 0.8282
Tm 0.7556 0.8282 0.3370
Hf 0.0000 0.5010 0.5010

Entry 14:
DyTmHf2 | PBE | relaxed

Output
Formation enthalpy at 0 K = 174 meV/atom
Spin magnetization = 0.0 μB per formula unit
Distance to the lowest polymorph of the same formula = 0 meV/atom

Cell lengths 11.0528, 11.0528, 11.0528 Å; angles 17.15, 17.15, 17.15 degrees
Element x y z (fractional)
Dy 0.0000 0.0000 0.0000
Tm 0.5000 0.5000 0.5000
Hf 0.2496 0.2496 0.2496
Hf 0.7504 0.7504 0.7504

Entry 15:
DyHfV | PBE | relaxed

Output
Formation enthalpy at 0 K = 380 meV/atom
Spin magnetization = 0.0 μB per formula unit

Cell lengths 5.1987, 5.1987, 5.6877 Å; angles 106.17, 106.17, 79.92 degrees
Element x y z (fractional)
Dy 0.2390 0.7610 0.0000
Dy 0.7610 0.2390 0.0000
Hf 0.1965 0.1965 0.5826
Hf 0.5969 0.5969 0.5920
V 0.0124 0.6942 0.4248
V 0.6942 0.0124 0.4248

Entry 16:
DyHfW4 | PBE | relaxed

Output
Formation enthalpy at 0 K = 15 meV/atom
Spin magnetization = 0.0 μB per formula unit

Cell lengths 5.4634, 5.4634, 5.4634 Å; angles 60.00, 60.00, 60.00 degrees
Element x y z (fractional)
Dy 0.0000 0.0000 0.0000
Hf 0.7500 0.7500 0.7500
W 0.3748 0.3748 0.3748
W 0.3748 0.3748 0.8755
W 0.3748 0.8755 0.3748
W 0.8755 0.3748 0.3748

Entry 17:
DyY2Hf | PBE | relaxed

Output
Formation enthalpy at 0 K = 120 meV/atom
Spin magnetization = 0.0 μB per formula unit
Distance to the lowest polymorph of the same formula = 0 meV/atom

Cell lengths 11.3736, 11.3736, 11.3736 Å; angles 17.46, 17.46, 17.46 degrees
Element x y z (fractional)
Dy 0.0000 0.0000 0.0000
Y 0.2451 0.2451 0.2451
Y 0.4219 0.4219 0.4219
Hf 0.8337 0.8337 0.8337

Entry 18:
Dy14YHf | PBE | relaxed

Output
Formation enthalpy at 0 K = 49 meV/atom
Spin magnetization = 0.0 μB per formula unit

Cell lengths 7.0339, 7.0339, 9.9177 Å; angles 90.00, 90.00, 90.00 degrees
Element x y z (fractional)
Dy 0.0000 0.0000 0.0000
Dy 0.0000 0.5000 0.0000
Dy 0.0000 0.5000 0.5000
Dy 0.2444 0.2444 0.2554
Dy 0.2444 0.2444 0.7446
Dy 0.2444 0.7556 0.2554
Dy 0.2444 0.7556 0.7446
Dy 0.5000 0.0000 0.0000
Dy 0.5000 0.0000 0.5000
Dy 0.5000 0.5000 0.0000
Dy 0.7556 0.2444 0.2554
Dy 0.7556 0.2444 0.7446
Dy 0.7556 0.7556 0.2554
Dy 0.7556 0.7556 0.7446
Y 0.5000 0.5000 0.5000
Hf 0.0000 0.0000 0.5000

Entry 19:
Dy2YHf | PBE | relaxed

Output
Formation enthalpy at 0 K = 115 meV/atom
Spin magnetization = 0.0 μB per formula unit
Distance to the lowest polymorph of the same formula = 0 meV/atom

Cell lengths 11.3723, 11.3723, 11.3723 Å; angles 17.42, 17.42, 17.42 degrees
Element x y z (fractional)
Dy 0.0000 0.0000 0.0000
Dy 0.1776 0.1776 0.1776
Y 0.4222 0.4222 0.4222
Hf 0.5887 0.5887 0.5887

Entry 20:
Dy2YHf | PBE | relaxed

Output
Formation enthalpy at 0 K = 371 meV/atom
Spin magnetization = 0.0 μB per formula unit
Distance to the lowest polymorph of the same formula = 257 meV/atom

Cell lengths 12.1315, 12.1315, 12.1315 Å; angles 15.84, 15.84, 15.84 degrees
Element x y z (fractional)
Dy 0.0861 0.0861 0.0861
Dy 0.9139 0.9139 0.9139
Y 0.5000 0.5000 0.5000
Hf 0.0000 0.0000 0.0000

Entry 21:
Dy2YHf | PBE | relaxed

Output
Formation enthalpy at 0 K = 148 meV/atom
Spin magnetization = 0.0 μB per formula unit
Distance to the lowest polymorph of the same formula = 33 meV/atom

Cell lengths 4.8533, 4.8533, 4.8409 Å; angles 90.00, 90.00, 90.00 degrees
Element x y z (fractional)
Dy 0.0000 0.5000 0.0000
Dy 0.5000 0.0000 0.0000
Y 0.0000 0.0000 0.5000
Hf 0.5000 0.5000 0.5000

Entry 22:
DyY2Hf | PBE | relaxed

Output
Formation enthalpy at 0 K = 155 meV/atom
Spin magnetization = 0.0 μB per formula unit
Distance to the lowest polymorph of the same formula = 34 meV/atom

Cell lengths 4.8572, 4.8572, 4.8658 Å; angles 90.00, 90.00, 90.00 degrees
Element x y z (fractional)
Dy 0.0000 0.0000 0.0000
Y 0.0000 0.5000 0.5000
Y 0.5000 0.0000 0.5000
Hf 0.5000 0.5000 0.0000

Entry 23:
Dy2YHf | PBE | relaxed

Output
Formation enthalpy at 0 K = 216 meV/atom
Spin magnetization = 0.0 μB per formula unit
Distance to the lowest polymorph of the same formula = 101 meV/atom

Cell lengths 3.9784, 3.9784, 7.3146 Å; angles 90.00, 90.00, 90.00 degrees
Element x y z (fractional)
Dy 0.0000 0.0000 0.2209
Dy 0.0000 0.0000 0.7791
Y 0.5000 0.5000 0.5000
Hf 0.5000 0.5000 0.0000

Entry 24:
DyY2Hf | PBE | relaxed

Output
Formation enthalpy at 0 K = 233 meV/atom
Spin magnetization = 0.0 μB per formula unit
Distance to the lowest polymorph of the same formula = 113 meV/atom

Cell lengths 3.9950, 3.9950, 7.3199 Å; angles 90.00, 90.00, 90.00 degrees
Element x y z (fractional)
Dy 0.0000 0.0000 0.0000
Y 0.5000 0.5000 0.2767
Y 0.5000 0.5000 0.7233
Hf 0.0000 0.0000 0.5000

Entry 25:
DyY2Hf | PBE | relaxed

Output
Formation enthalpy at 0 K = 128 meV/atom
Spin magnetization = 0.0 μB per formula unit
Distance to the lowest polymorph of the same formula = 8 meV/atom

Cell lengths 11.4912, 11.4912, 11.4912 Å; angles 17.18, 17.18, 17.18 degrees
Element x y z (fractional)
Dy 0.0000 0.0000 0.0000
Y 0.2446 0.2446 0.2446
Y 0.7554 0.7554 0.7554
Hf 0.5000 0.5000 0.5000

Entry 26:
Dy2HfZn | PBE | relaxed

Output
Formation enthalpy at 0 K = 320 meV/atom
Spin magnetization = 0.0 μB per formula unit
Distance to the lowest polymorph of the same formula = 409 meV/atom

Cell lengths 11.4132, 11.4132, 11.4132 Å; angles 16.33, 16.33, 16.33 degrees
Element x y z (fractional)
Dy 0.0956 0.0956 0.0956
Dy 0.9044 0.9044 0.9044
Hf 0.0000 0.0000 0.0000
Zn 0.5000 0.5000 0.5000

Entry 27:
DyHfZn2 | PBE | relaxed

Output
Formation enthalpy at 0 K = -237 meV/atom
Spin magnetization = 0.0 μB per formula unit
Distance to the lowest polymorph of the same formula = 0 meV/atom

Cell lengths 3.4271, 3.4271, 6.8680 Å; angles 90.00, 90.00, 90.00 degrees
Element x y z (fractional)
Dy 0.0000 0.0000 0.0000
Hf 0.0000 0.0000 0.5000
Zn 0.5000 0.5000 0.2778
Zn 0.5000 0.5000 0.7222

Entry 28:
Dy4HfZn5 | PBE | relaxed

Output
Formation enthalpy at 0 K = -290 meV/atom
Spin magnetization = 0.0 μB per formula unit

Cell lengths 3.5087, 3.5087, 17.6004 Å; angles 90.00, 90.00, 90.00 degrees
Element x y z (fractional)
Dy 0.0000 0.0000 0.1035
Dy 0.0000 0.0000 0.3091
Dy 0.0000 0.0000 0.6909
Dy 0.0000 0.0000 0.8965
Hf 0.0000 0.0000 0.5000
Zn 0.5000 0.5000 0.0000
Zn 0.5000 0.5000 0.2065
Zn 0.5000 0.5000 0.4159
Zn 0.5000 0.5000 0.5841
Zn 0.5000 0.5000 0.7935

Entry 29:
DyHfZn4 | PBE | relaxed

Output
Formation enthalpy at 0 K = -216 meV/atom
Spin magnetization = 1.1 μB per formula unit
Distance to the lowest polymorph of the same formula = 59 meV/atom

Cell lengths 5.3279, 5.3279, 5.3279 Å; angles 60.00, 60.00, 60.00 degrees
Element x y z (fractional)
Dy 0.0000 0.0000 0.0000
Hf 0.7500 0.7500 0.7500
Zn 0.3758 0.3758 0.3758
Zn 0.3758 0.3758 0.8727
Zn 0.3758 0.8727 0.3758
Zn 0.8727 0.3758 0.3758